# 1
Pu3Ge PBE-GGA relaxed; polymorph energy (0 for the lowest one) = 0.19 eV/f.u.; ΔH_f (0 K) = -0.164 eV per atom; theoretical density = 14.12 g/cm3; space-group type = I4/mmm (139)
1.0
-2.2459 2.2459 4.6894
2.2459 -2.2459 4.6894
2.2459 2.2459 -4.6894
Pu Ge
3 1
Direct
0.0000 0.0000 0.0000
0.2500 0.7500 0.5000
0.7500 0.2500 0.5000
0.5000 0.5000 0.0000

***

# 2
Pu4Ge PBE-GGA relaxed; polymorph energy (0 for the lowest one) = 3.65 eV/f.u.; ΔH_f (0 K) = 0.608 eV per atom; theoretical density = 10.29 g/cm3; space-group type = Pm-3m (221)
1.0
5.5311 0.0000 0.0000
0.0000 5.5311 0.0000
0.0000 0.0000 5.5311
Pu Ge
4 1
Direct
0.0000 0.0000 0.0000
0.0000 0.5000 0.5000
0.5000 0.0000 0.5000
0.5000 0.5000 0.0000
0.5000 0.5000 0.5000

***

# 3
Pu2Ge PBE-GGA relaxed; ΔH_f (0 K) = 0.093 eV per atom; theoretical density = 11.85 g/cm3; space-group type = P6_3/mmc (194)
1.0
3.4220 0.0000 0.0000
-1.7110 2.9636 0.0000
0.0000 0.0000 15.4898
Pu Ge
4 2
Direct
0.3333 0.6667 0.1428
0.3333 0.6667 0.3572
0.6667 0.3333 0.6428
0.6667 0.3333 0.8572
0.0000 0.0000 0.0000
0.0000 0.0000 0.5000

***

# 4
Pu3Ge PBE-GGA relaxed; polymorph energy (0 for the lowest one) = 0.70 eV/f.u.; ΔH_f (0 K) = -0.038 eV per atom; theoretical density = 16.07 g/cm3; space-group type = Fm-3m (225)
1.0
0.0000 3.4638 3.4638
3.4638 0.0000 3.4638
3.4638 3.4638 0.0000
Pu Ge
3 1
Direct
0.0000 0.0000 0.0000
0.2500 0.2500 0.2500
0.7500 0.7500 0.7500
0.5000 0.5000 0.5000

***

# 5
Pu2Ge PBE-GGA relaxed; ΔH_f (0 K) = 0.104 eV per atom; theoretical density = 15.88 g/cm3; space-group type = P6/mmm (191)
1.0
4.3984 0.0000 0.0000
-2.1992 3.8091 0.0000
0.0000 0.0000 3.4989
Pu Ge
2 1
Direct
0.3333 0.6667 0.0000
0.6667 0.3333 0.0000
0.0000 0.0000 0.5000

***

# 6
Rb2PuGeS4 PBE-GGA relaxed; E_form (uncorrected) = -1.034 eV/atom; theoretical density = 4.71 g/cm3; space-group type = Imma (74)
1.0
-4.2127 4.3141 5.9751
4.2127 -4.3141 5.9751
4.2127 4.3141 -5.9751
Rb Pu Ge S
4 2 2 8
Direct
0.0000 0.0000 0.0000
0.5000 0.0000 0.0000
0.5000 0.0000 0.5000
0.5000 0.5000 0.5000
0.0000 0.0000 0.5000
0.0000 0.5000 0.0000
0.0000 0.5000 0.5000
0.5000 0.5000 0.0000
0.1870 0.7318 0.4552
0.2232 0.2592 0.5360
0.2235 0.2682 0.9552
0.2232 0.6872 0.9640
0.7768 0.3128 0.0360
0.7765 0.7318 0.0448
0.7768 0.7408 0.4640
0.8130 0.2682 0.5448

***

Look up the theoretical density of the fourth one.
16.07 g/cm3